Computed, not measured: a relaxed HfScNb crystal at the PBE-GGA level of DFT.

Summary:
* space-group type: P-6m2
* Fermi-level density of states: 1.1604 states/eV per atom
* energy above the most stable polymorph in this dataset: 144 meV/atom
* electronic total energy: -25.790 eV per cell
* spin magnetization: 0.00 μB per formula unit

a b c (Å): 4.912 4.912 2.990
angles (deg): 90.00 90.00 120.00
Sites, in units of the cell vectors:
Hf 0.000 0.000 0.000
Sc 0.667 0.333 0.000
Nb 0.333 0.667 0.500

Computed, not measured: a relaxed Ag2PtBr crystal at the PBE-GGA level of DFT.

Summary:
* space-group type: I-4m2
* Fermi-level density of states: 0.4204 states/eV per atom
* energy above the most stable polymorph in this dataset: 216 meV/atom
* electronic total energy: -12.021 eV per cell
* energy relative to the elements, uncorrected: 0.349 eV/atom
* spin magnetization: 0.00 μB per formula unit

a b c (Å): 5.238 5.238 5.238
angles (deg): 132.91 132.91 68.80
Sites, in units of the cell vectors:
Ag 0.000 0.000 0.000
Ag 0.750 0.250 0.500
Pt 0.500 0.500 0.000
Br 0.250 0.750 0.500

Computed, not measured: a relaxed BOsSeBr2 crystal at the PBE-GGA level of DFT.

Summary:
* space-group type: P4/mmm
* Fermi-level density of states: 0.6319 states/eV per atom
* energy above the most stable polymorph in this dataset: 0 meV/atom
* electronic total energy: -18.287 eV per cell
* energy relative to the elements, uncorrected: 1.290 eV/atom
* spin magnetization: 0.00 μB per formula unit

a b c (Å): 5.267 5.267 4.635
angles (deg): 90.00 90.00 90.00
Sites, in units of the cell vectors:
B 0.000 0.000 0.000
Os 0.500 0.500 0.500
Se 0.500 0.500 0.000
Br 0.000 0.500 0.500
Br 0.500 0.000 0.500

Computed, not measured: a relaxed AcMg2Ge3 crystal at the PBE-GGA level of DFT.

Summary:
* space-group type: I4/mmm
* Fermi-level density of states: 0.2628 states/eV per atom
* electronic total energy: -46.103 eV per cell
* spin magnetization: 0.00 μB per formula unit

a b c (Å): 13.566 13.566 13.566
angles (deg): 160.14 160.14 28.23
Sites, in units of the cell vectors:
Ac 0.137 0.137 0.000
Ac 0.863 0.863 0.000
Mg 0.250 0.750 0.500
Mg 0.408 0.408 0.000
Mg 0.592 0.592 0.000
Mg 0.750 0.250 0.500
Ge 0.046 0.546 0.500
Ge 0.308 0.308 0.000
Ge 0.454 0.954 0.500
Ge 0.546 0.046 0.500
Ge 0.692 0.692 0.000
Ge 0.954 0.454 0.500

Computed, not measured: a relaxed ZrBeNi crystal at the PBE-GGA level of DFT.

Summary:
* space-group type: I4mm
* Fermi-level density of states: 1.0322 states/eV per atom
* energy above the most stable polymorph in this dataset: 140 meV/atom
* electronic total energy: -18.702 eV per cell
* spin magnetization: 0.00 μB per formula unit

a b c (Å): 5.182 5.182 5.182
angles (deg): 146.99 146.99 47.38
Sites, in units of the cell vectors:
Zr 0.000 0.000 0.000
Be 0.703 0.703 0.000
Ni 0.300 0.300 0.000

Computed, not measured: a relaxed CeTmSi2 crystal at the PBE-GGA level of DFT.

Summary:
* space-group type: Amm2
* Fermi-level density of states: 1.5244 states/eV per atom
* energy above the most stable polymorph in this dataset: 0 meV/atom
* electronic total energy: -24.106 eV per cell
* energy relative to the elements, uncorrected: -0.714 eV/atom
* spin magnetization: 0.53 μB per formula unit

a b c (Å): 3.853 5.718 5.718
angles (deg): 44.42 90.00 90.00
Sites, in units of the cell vectors:
Ce 0.000 0.000 0.000
Tm 0.500 0.721 0.721
Si 0.000 0.284 0.284
Si 0.500 0.433 0.433